# 1
AlAu2: optimized geometry, GGA-PBEsol.

Properties
- M_tot (μB/f.u.) = 0.0
- formation energy from the elements (kJ per mole of atoms) = -28.75
- ρ (Mg/m³) = 14.358
- D(E_F) (states/eV/f.u.) = 0.72

Lattice parameters (Å, degrees): 4.481 4.481 5.599 90.00 90.00 120.00
Positions (direct):
Au (0.333, 0.667, 0.750)
Al (0.333, 0.667, 0.250)
Au (0.000, 0.000, 0.500)
Au (0.667, 0.333, 0.250)
Au (0.000, 0.000, 0.000)
Al (0.667, 0.333, 0.750)



# 2
AlAu4: optimized geometry, GGA-PBEsol.

Properties
- relative energy among the computed polymorphs (meV/atom) = 22
- M_tot (μB/f.u.) = 0.0
- formation energy from the elements (kJ per mole of atoms) = -20.57
- ρ (Mg/m³) = 16.455
- D(E_F) (states/eV/f.u.) = 1.38

Lattice parameters (Å, degrees): 3.683 5.071 5.071 82.42 68.70 68.70
Positions (direct):
Au (0.213, 0.379, 0.196)
Au (0.787, 0.621, 0.804)
Al (0.000, 0.000, 0.000)
Au (0.409, 0.804, 0.379)
Au (0.591, 0.196, 0.621)



# 3
AlAu2: optimized geometry, GGA-PBEsol.

Properties
- M_tot (μB/f.u.) = 0.0
- formation energy from the elements (kJ per mole of atoms) = -25.22
- ρ (Mg/m³) = 13.785
- D(E_F) (states/eV/f.u.) = 0.89

Lattice parameters (Å, degrees): 3.008 3.008 11.407 97.58 97.58 90.00
Positions (direct):
Al (0.250, 0.750, 0.500)
Al (0.000, 0.000, 0.000)
Au (0.571, 0.571, 0.142)
Au (0.821, 0.321, 0.642)
Au (0.429, 0.429, 0.858)
Au (0.679, 0.179, 0.358)



# 4
AlAu4: optimized geometry, GGA-PBEsol.

Properties
- relative energy among the computed polymorphs (meV/atom) = 256
- M_tot (μB/f.u.) = 0.0
- formation energy from the elements (kJ per mole of atoms) = 1.97
- ρ (Mg/m³) = 14.148
- D(E_F) (states/eV/f.u.) = 2.83

Lattice parameters (Å, degrees): 4.990 4.990 4.990 109.47 109.47 109.47
Positions (direct):
Al (0.000, 0.000, 0.000)
Au (0.500, 0.500, 0.500)
Au (0.500, 0.000, 0.000)
Au (0.000, 0.000, 0.500)
Au (0.000, 0.500, 0.000)



# 5
AlAu5: optimized geometry, GGA-PBEsol.

Properties
- relative energy among the computed polymorphs (meV/atom) = 1
- M_tot (μB/f.u.) = 0.0
- formation energy from the elements (kJ per mole of atoms) = -16.53
- ρ (Mg/m³) = 16.927
- D(E_F) (states/eV/f.u.) = 1.90

Lattice parameters (Å, degrees): 4.007 4.081 6.392 90.00 108.27 90.00
Positions (direct):
Au (0.335, 0.500, 0.670)
Au (0.841, 0.000, 0.682)
Au (0.000, 0.500, 0.000)
Au (0.159, 0.000, 0.318)
Au (0.665, 0.500, 0.330)
Al (0.500, 0.000, 0.000)



# 6
Al2Au: optimized geometry, GGA-PBEsol.

Properties
- M_tot (μB/f.u.) = 0.0
- formation energy from the elements (kJ per mole of atoms) = -43.98
- ρ (Mg/m³) = 7.730
- D(E_F) (states/eV/f.u.) = 1.03

Lattice parameters (Å, degrees): 4.240 4.240 4.240 60.00 60.00 60.00
Positions (direct):
Au (0.000, 0.000, 0.000)
Al (0.750, 0.750, 0.750)
Al (0.250, 0.250, 0.250)



# 7
AlAu2: optimized geometry, GGA-PBEsol.

Properties
- M_tot (μB/f.u.) = 0.0
- formation energy from the elements (kJ per mole of atoms) = -35.02
- ρ (Mg/m³) = 14.473
- D(E_F) (states/eV/f.u.) = 0.77

Lattice parameters (Å, degrees): 3.271 8.813 16.754 90.00 90.00 90.00
Positions (direct):
Al (0.000, 0.018, 0.201)
Au (0.500, 0.827, 0.904)
Al (0.000, 0.025, 0.599)
Au (0.000, 0.344, 0.987)
Al (0.500, 0.518, 0.299)
Au (0.000, 0.668, 0.789)
Al (0.500, 0.475, 0.099)
Au (0.500, 0.143, 0.312)
Au (0.500, 0.832, 0.289)
Au (0.000, 0.357, 0.812)
Al (0.500, 0.500, 0.500)
Al (0.500, 0.482, 0.701)
Au (0.000, 0.673, 0.404)
Au (0.000, 0.327, 0.596)
Au (0.500, 0.168, 0.711)
Au (0.000, 0.643, 0.188)
Au (0.000, 0.362, 0.395)
Al (0.000, 0.000, 0.000)
Al (0.500, 0.525, 0.901)
Au (0.500, 0.844, 0.513)
Au (0.500, 0.156, 0.487)
Al (0.000, 0.982, 0.799)
Au (0.500, 0.857, 0.688)
Au (0.000, 0.638, 0.605)
Au (0.000, 0.656, 0.013)
Au (0.500, 0.862, 0.105)
Au (0.500, 0.173, 0.096)
Au (0.500, 0.138, 0.895)
Au (0.000, 0.332, 0.211)
Al (0.000, 0.975, 0.401)



# 8
Al5Au: optimized geometry, GGA-PBEsol.

Properties
- M_tot (μB/f.u.) = 0.0
- formation energy from the elements (kJ per mole of atoms) = -10.45
- ρ (Mg/m³) = 5.713
- D(E_F) (states/eV/f.u.) = 2.00

Lattice parameters (Å, degrees): 4.019 4.021 6.299 90.00 108.60 90.00
Positions (direct):
Au (0.500, 0.000, 0.000)
Al (0.332, 0.500, 0.665)
Al (0.835, 0.000, 0.671)
Al (0.668, 0.500, 0.335)
Al (0.165, 0.000, 0.329)
Al (0.000, 0.500, 0.000)